12
Lattice="3.430 7.695 -0.394 -5.950 -5.518 2.301 5.275 -1.884 9.122" Properties=species:S:1:pos:R:3 comment="RbTaAgTeSe2, optimized geometry, DFT PBE" space_group="No. 63" pbc="T T T"
Ag -0.350 0.041 3.352
Ag 3.106 0.252 7.677
Rb 2.576 4.163 2.511
Rb 0.180 -3.869 8.518
Se -2.119 -0.438 1.562
Se 0.160 -1.252 5.502
Se 2.596 1.546 5.527
Se 4.874 0.732 9.466
Ta 0.000 0.000 0.000
Ta 2.638 -0.942 4.561
Te -3.903 -4.963 4.372
Te 6.658 5.257 6.657

***

9
Lattice="6.681 0.000 0.000 0.000 6.681 0.000 0.000 0.000 6.681" Properties=species:S:1:pos:R:3 comment="RbTbAg3Se4, optimized geometry, DFT PBE" space_group="No. 215" pbc="T T T"
Ag 3.341 3.341 0.000
Ag 3.341 0.000 3.341
Ag 0.000 3.341 3.341
Rb 0.000 0.000 0.000
Se 1.809 1.809 1.809
Se 4.873 4.873 1.809
Se 4.873 1.809 4.873
Se 1.809 4.873 4.873
Tb 3.341 3.341 3.341

***

24
Lattice="11.000 0.000 0.000 0.000 3.849 0.000 0.000 0.000 13.795" Properties=species:S:1:pos:R:3 comment="RbTcAgSe3, optimized geometry, DFT PBE" space_group="No. 62" e_above_lowest_polymorph_mev_per_atom=0 pbc="T T T"
Ag 7.956 1.924 3.117
Ag 2.456 0.000 3.780
Ag 8.544 1.924 10.015
Ag 3.044 0.000 10.678
Rb 10.594 0.000 1.923
Rb 5.094 1.924 4.974
Rb 5.906 0.000 8.820
Rb 0.406 1.924 11.872
Se 8.097 1.924 0.574
Se 5.368 0.000 1.736
Se 2.450 1.924 2.040
Se 7.950 0.000 4.858
Se 10.868 1.924 5.162
Se 2.597 0.000 6.323
Se 8.402 1.924 7.472
Se 0.132 0.000 8.633
Se 3.050 1.924 8.937
Se 8.550 0.000 11.755
Se 5.632 1.924 12.059
Se 2.903 0.000 13.220
Tc 4.457 1.924 0.363
Tc 9.957 0.000 6.534
Tc 1.043 1.924 7.261
Tc 6.543 0.000 13.431

***

12
Lattice="7.836 -1.914 0.000 7.836 1.914 0.000 0.000 0.000 10.201" Properties=species:S:1:pos:R:3 comment="RbTcAgSe3, optimized geometry, DFT PBE" space_group="No. 63" e_above_lowest_polymorph_mev_per_atom=108 pbc="T T T"
Ag 8.562 0.000 2.550
Ag 7.109 0.000 7.651
Rb 3.810 0.000 2.550
Rb 11.862 0.000 7.651
Se 9.618 0.000 0.226
Se 14.626 0.000 2.550
Se 9.618 0.000 4.874
Se 6.054 0.000 5.327
Se 1.046 0.000 7.651
Se 6.054 0.000 9.975
Tc 0.000 0.000 0.000
Tc 0.000 0.000 5.101

***

24
Lattice="13.642 0.000 0.000 0.000 3.849 0.000 0.000 0.000 11.185" Properties=species:S:1:pos:R:3 comment="RbTcAgSe3, optimized geometry, DFT PBE" space_group="No. 62" e_above_lowest_polymorph_mev_per_atom=0 pbc="T T T"
Ag 10.040 0.962 2.427
Ag 3.219 0.962 3.165
Ag 10.423 2.887 8.020
Ag 3.602 2.887 8.758
Rb 1.905 2.887 0.512
Rb 8.726 2.887 5.080
Rb 4.916 0.962 6.105
Rb 11.737 0.962 10.673
Se 5.095 0.962 0.214
Se 11.777 2.887 2.405
Se 7.502 0.962 2.567
Se 0.681 0.962 3.026
Se 4.956 2.887 3.188
Se 11.916 0.962 5.379
Se 1.726 2.887 5.806
Se 8.687 0.962 7.998
Se 12.961 2.887 8.160
Se 6.140 2.887 8.618
Se 1.865 0.962 8.780
Se 8.547 2.887 10.971
Tc 6.510 2.887 1.069
Tc 13.331 2.887 4.523
Tc 0.312 0.962 6.662
Tc 7.133 0.962 10.116

***

12
Lattice="-6.171 1.573 5.820 2.428 -1.021 2.851 5.767 8.163 -1.987" Properties=species:S:1:pos:R:3 comment="RbTcAgSe3, optimized geometry, DFT PBE" space_group="No. 11" e_above_lowest_polymorph_mev_per_atom=26 pbc="T T T"
Ag 1.405 3.108 3.880
Ag 0.618 5.607 2.804
Rb -2.395 3.183 4.502
Rb 4.419 5.533 2.182
Se 0.242 0.795 4.043
Se -3.426 1.774 7.518
Se 1.602 3.504 1.212
Se 0.421 5.211 5.472
Se 5.450 6.941 -0.833
Se 1.782 7.920 2.641
Tc 0.361 1.246 1.460
Tc 1.662 7.469 5.224

***

| no. | total magnetic moment (μB per formula unit) | VASP energy (eV per atom) |
| --- | --- | --- |
| 1 | 0.5 | -4.813 |
| 2 | 0.0 | -3.764 |
| 3 | 0.1 | -4.531 |
| 4 | 2.6 | -4.423 |
| 5 | 0.2 | -4.530 |
| 6 | 2.6 | -4.505 |